# 1
! LiNd3Cd3 | the Alexandria database | GGA-PBE | relaxed; values from VASP
! Total DFT energy (no corrections) (eV/atom): -2.83
! Space-group type: No. 12
&SYSTEM
  ibrav = 0, nat = 14, ntyp = 3
/
ATOMIC_SPECIES
Li 6.94 Li.upf
Nd 144.24 Nd.upf
Cd 112.41 Cd.upf
CELL_PARAMETERS angstrom
5.425 -5.216 0.000
5.425 5.216 0.000
-0.038 0.000 7.085
ATOMIC_POSITIONS crystal
Li 0.124 0.124 0.440
Li 0.876 0.876 0.560
Nd 0.064 0.452 0.752
Nd 0.425 0.425 0.250
Nd 0.452 0.064 0.752
Nd 0.548 0.936 0.248
Nd 0.575 0.575 0.750
Nd 0.936 0.548 0.248
Cd 0.144 0.144 0.070
Cd 0.238 0.762 0.000
Cd 0.238 0.762 0.500
Cd 0.762 0.238 0.000
Cd 0.762 0.238 0.500
Cd 0.856 0.856 0.930

# 2
! Th6Ge3BiSe2 | the Alexandria database | GGA-PBE | relaxed; values from VASP
! Formation energy without anion corrections (eV/atom): -1.036
! Space-group type: No. 12
&SYSTEM
  ibrav = 0, nat = 12, ntyp = 4
/
ATOMIC_SPECIES
Th 232.04 Th.upf
Ge 72.64 Ge.upf
Bi 208.98 Bi.upf
Se 78.96 Se.upf
CELL_PARAMETERS angstrom
9.449 -2.163 0.000
9.449 2.163 0.000
-2.034 0.000 8.453
ATOMIC_POSITIONS crystal
Th 0.001 0.001 0.230
Th 0.325 0.325 0.422
Th 0.337 0.337 0.910
Th 0.663 0.663 0.090
Th 0.675 0.675 0.578
Th 0.999 0.999 0.770
Ge 0.164 0.164 0.331
Ge 0.500 0.500 0.000
Ge 0.836 0.836 0.669
Bi 0.500 0.500 0.500
Se 0.168 0.168 0.834
Se 0.832 0.832 0.166

# 3
! Re3Ru5 | the Alexandria database | GGA-PBE | relaxed; values from VASP
! Space-group type: No. 65
! Energy above the lowest structure with this stoichiometry (meV/atom): 0
&SYSTEM
  ibrav = 0, nat = 8, ntyp = 2
/
ATOMIC_SPECIES
Re 186.21 Re.upf
Ru 101.07 Ru.upf
CELL_PARAMETERS angstrom
3.837 -3.843 0.000
3.837 3.843 0.000
0.000 0.000 3.880
ATOMIC_POSITIONS crystal
Re 0.000 0.000 0.000
Re 0.252 0.252 0.500
Re 0.748 0.748 0.500
Ru 0.000 0.500 0.000
Ru 0.251 0.749 0.500
Ru 0.500 0.000 0.000
Ru 0.500 0.500 0.000
Ru 0.749 0.251 0.500

# 4
! Rb2BaCu2Cl7 | the Alexandria database | GGA-PBE | relaxed; values from VASP
! Formation energy without anion corrections (eV/atom): -1.488
! Space-group type: No. 12
&SYSTEM
  ibrav = 0, nat = 12, ntyp = 4
/
ATOMIC_SPECIES
Rb 85.47 Rb.upf
Ba 137.33 Ba.upf
Cu 63.55 Cu.upf
Cl 35.45 Cl.upf
CELL_PARAMETERS angstrom
3.502 -3.502 0.000
3.502 3.502 0.000
-3.482 0.000 12.982
ATOMIC_POSITIONS crystal
Rb 0.181 0.181 0.363
Rb 0.819 0.819 0.637
Ba 0.000 0.000 0.000
Cu 0.404 0.404 0.806
Cu 0.596 0.596 0.194
Cl 0.087 0.587 0.175
Cl 0.311 0.311 0.620
Cl 0.413 0.913 0.825
Cl 0.500 0.500 0.000
Cl 0.587 0.087 0.175
Cl 0.689 0.689 0.380
Cl 0.913 0.413 0.825

# 5
! CrAg2P | the Alexandria database | GGA-PBE | relaxed; values from VASP
! Total DFT energy (no corrections) (eV/atom): -5.01
! Space-group type: No. 160
&SYSTEM
  ibrav = 0, nat = 4, ntyp = 3
/
ATOMIC_SPECIES
Cr 52.00 Cr.upf
Ag 107.87 Ag.upf
P 30.97 P.upf
CELL_PARAMETERS angstrom
1.442 0.833 8.663
-1.442 0.833 8.663
0.000 -1.665 8.663
ATOMIC_POSITIONS crystal
Cr 0.000 0.000 0.000
Ag 0.245 0.245 0.245
Ag 0.484 0.484 0.484
P 0.726 0.726 0.726

# 6
! TcBMoRu2 | the Alexandria database | GGA-PBE | relaxed; values from VASP
! Total DFT energy (no corrections) (eV/atom): -9.16
! Space-group type: No. 123
&SYSTEM
  ibrav = 0, nat = 5, ntyp = 4
/
ATOMIC_SPECIES
Tc 98.00 Tc.upf
B 10.81 B.upf
Mo 95.94 Mo.upf
Ru 101.07 Ru.upf
CELL_PARAMETERS angstrom
4.019 0.000 0.000
0.000 4.019 0.000
0.000 0.000 4.189
ATOMIC_POSITIONS crystal
Tc 0.000 0.000 0.000
B 0.500 0.500 0.500
Mo 0.500 0.500 0.000
Ru 0.000 0.500 0.500
Ru 0.500 0.000 0.500